DFT (PBE-GGA) results for HoAl3Cl12 after structural relaxation.

```
data_HoAl3Cl12
_symmetry_space_group_name_H-M 'P 31 1 2'
_symmetry_Int_Tables_number 151
_cell_length_a 10.5064
_cell_length_b 10.5064
_cell_length_c 15.5948
_cell_angle_alpha 90.00
_cell_angle_beta 90.00
_cell_angle_gamma 120.00
loop_
_symmetry_equiv_pos_as_xyz
'x,y,z'
'-y,x-y,z+1/3'
'-x+y,-x,z+2/3'
'-y,-x,-z+2/3'
'-x+y,y,-z+1/3'
'x,x-y,-z'
loop_
_atom_site_label
_atom_site_type_symbol
_atom_site_fract_x
_atom_site_fract_y
_atom_site_fract_z
Ho1 Ho 0.1692 0.3383 0.1667
Al1 Al 0.2022 0.6011 0.0000
Al2 Al 0.3027 0.0900 0.2327
Cl1 Cl 0.0018 0.1716 0.0338
Cl2 Cl 0.0690 0.5298 0.1143
Cl3 Cl 0.1378 0.3127 0.5454
Cl4 Cl 0.1645 0.4962 0.3170
Cl5 Cl 0.3215 0.1153 0.8898
Cl6 Cl 0.5076 0.1721 0.2931
```

## Properties
For the magnetization, the calculation gives 0.00 Bohr magnetons per cell. The energy comes out at -4.077 eV/atom.